# KTiAsO5 (PBEsol, optimized geometry)
data_KTiAsO5
_cell_length_a 13.168
_cell_length_b 6.593
_cell_length_c 10.782
_cell_angle_alpha 90.00
_cell_angle_beta 90.00
_cell_angle_gamma 90.00
_space_group_name_H-M_alt 'P n a 21'
_space_group_IT_number 33
_space_group_name_Hall 'P 2c -2n'
loop_
_atom_site_label
_atom_site_type_symbol
_atom_site_fract_x
_atom_site_fract_y
_atom_site_fract_z
K1 K 0.110 0.202 0.000
K2 K 0.126 0.777 0.743
Ti1 Ti 0.127 0.507 0.441
Ti2 Ti 0.245 0.764 0.189
As1 As 0.002 0.331 0.696
As2 As 0.180 0.009 0.447
O1 O 0.005 0.534 0.332
O2 O 0.013 0.503 0.580
O3 O 0.100 0.827 0.173
O4 O 0.104 0.211 0.416
O5 O 0.106 0.806 0.483
O6 O 0.107 0.179 0.715
O7 O 0.217 0.565 0.323
O8 O 0.218 0.453 0.573
O9 O 0.238 0.538 0.070
O10 O 0.241 0.469 0.823
# Total moment, μB per formula unit: 0.00
# Formation energy without anion corrections, kJ/mol of atoms: -206